First-principles (PBE) data for a relaxed structure of HgMo, as listed in the Alexandria database.

Cell: 6.6540 6.6540 6.6540 Å, 90.00 90.00 90.00°
With the nearest neighbours (Å) after each atom.
Space group Fd-3m (No. 227, origin choice 2)
Symmetry-distinct sites (fractional):
Hg (0.1250, 0.1250, 0.1250)  4 Mo 2.88, 4 Hg 2.88
Mo (0.1250, 0.1250, 0.6250)  4 Hg 2.88, 4 Mo 2.88

Total energy   -4.74 eV per atom
Formation enthalpy at 0 K   159 kJ/mol of formula units
Excess energy over the best structure of this formula in the dataset   39.0 kJ/mol of atoms
Volume   294.6 Å³ per cell
Density of states at the Fermi level   1.7 states/eV/f.u.

First-principles (PBE) data for a relaxed structure of HgMo5, as listed in the Alexandria database.

Cell: 4.7419 2.6608 15.8756 Å, 90.00 90.00 90.00°
With the nearest neighbours (Å) after each atom.
Space group Amm2 (No. 38)
Symmetry-distinct sites (fractional):
Hg (0.0000, 0.0000, 0.0000)  2 Hg 2.66, 8 Mo 2.88-2.96
Mo (0.0000, 0.0000, 0.3338)  10 Mo 2.66-2.93, 2 Hg 2.96
Mo (0.0000, 0.0000, 0.6694)  10 Mo 2.66-2.93
Mo (0.5000, 0.0000, 0.1026)  8 Mo 2.66-2.92, 2 Hg 2.88
Mo (0.5000, 0.0000, 0.4279)  6 Mo 2.66-2.92, 4 Hg 2.95
Mo (0.5000, 0.0000, 0.7645)  12 Mo 2.66-2.93

Total energy   -8.61 eV per atom
Formation enthalpy at 0 K   269 kJ/mol of formula units
Excess energy over the best structure of this formula in the dataset   7.7 kJ/mol of atoms
Volume   200.3 Å³ per cell
Density of states at the Fermi level   6.9 states/eV/f.u.

First-principles (PBE) data for a relaxed structure of Hg2Mo, as listed in the Alexandria database.

Cell: 7.1316 7.1316 5.1111 Å, 90.00 90.00 90.00°
With the nearest neighbours (Å) after each atom.
Space group I4/mcm (No. 140)
Symmetry-distinct sites (fractional):
Hg (0.1719, 0.3281, 0.0000)  4 Mo 2.93, 2 Hg 3.00
Mo (0.0000, 0.0000, 0.2500)  2 Mo 2.56

Total energy   -3.27 eV per atom
Formation enthalpy at 0 K   156 kJ/mol of formula units
Excess energy over the best structure of this formula in the dataset   25.7 kJ/mol of atoms
Volume   259.9 Å³ per cell
Density of states at the Fermi level   2.6 states/eV/f.u.

First-principles (PBE) data for a relaxed structure of Hg2Mo, as listed in the Alexandria database.

Cell: 4.8684 4.8684 5.8871 Å, 90.00 90.00 120.00°
With the nearest neighbours (Å) after each atom.
Space group P6_3/mmc (No. 194)
Symmetry-distinct sites (fractional):
Hg (0.0000, 0.0000, 0.0000)  8 Hg 2.94-3.17, 6 Mo 3.17
Hg (0.3333, 0.6667, 0.2500)  5 Mo 2.81-2.94
Mo (0.3333, 0.6667, 0.7500)  5 Hg 2.81-2.94

Total energy   -2.95 eV per atom
Formation enthalpy at 0 K   250 kJ/mol of formula units
Excess energy over the best structure of this formula in the dataset   57.0 kJ/mol of atoms
Volume   120.8 Å³ per cell
Density of states at the Fermi level   1.3 states/eV/f.u.

Repeat the first record exactly.
First-principles (PBE) data for a relaxed structure of HgMo, as listed in the Alexandria database.

Cell: 6.6540 6.6540 6.6540 Å, 90.00 90.00 90.00°
With the nearest neighbours (Å) after each atom.
Space group Fd-3m (No. 227, origin choice 2)
Symmetry-distinct sites (fractional):
Hg (0.1250, 0.1250, 0.1250)  4 Mo 2.88, 4 Hg 2.88
Mo (0.1250, 0.1250, 0.6250)  4 Hg 2.88, 4 Mo 2.88

Total energy   -4.74 eV per atom
Formation enthalpy at 0 K   159 kJ/mol of formula units
Excess energy over the best structure of this formula in the dataset   39.0 kJ/mol of atoms
Volume   294.6 Å³ per cell
Density of states at the Fermi level   1.7 states/eV/f.u.

Q: What is the formation enthalpy at 0 K in the fourth record?
A: 250 kJ/mol of formula units

What did the first record say?
First-principles (PBE) data for a relaxed structure of HgMo, as listed in the Alexandria database.

Cell: 6.6540 6.6540 6.6540 Å, 90.00 90.00 90.00°
With the nearest neighbours (Å) after each atom.
Space group Fd-3m (No. 227, origin choice 2)
Symmetry-distinct sites (fractional):
Hg (0.1250, 0.1250, 0.1250)  4 Mo 2.88, 4 Hg 2.88
Mo (0.1250, 0.1250, 0.6250)  4 Hg 2.88, 4 Mo 2.88

Total energy   -4.74 eV per atom
Formation enthalpy at 0 K   159 kJ/mol of formula units
Excess energy over the best structure of this formula in the dataset   39.0 kJ/mol of atoms
Volume   294.6 Å³ per cell
Density of states at the Fermi level   1.7 states/eV/f.u.